1.
## BaPuGe (PBE-GGA)

Data for crystalline BaPuGe at its relaxed geometry.

The space group is P-6m2 (No. 187) and the conventional cell measures 5.0133, 5.0133 and 4.7959 Å, with angles of 90.00, 90.00 and 120.00 degrees. The distinct sites, in fractional coordinates, are Ba at (0.0000, 0.0000, 0.0000), Pu at (0.3333, 0.6667, 0.5000) and Ge at (0.6667, 0.3333, 0.5000).

The value obtained for the formation energy is -0.074 eV/atom. The relative energy among the computed polymorphs comes out at 326 meV/atom. As for the crystal system: hexagonal.

***

2.
## Tc2C (PBE-GGA)

Data for crystalline Tc2C at its relaxed geometry.

The space group is P6/mmm (No. 191) and the conventional cell measures 4.0788, 4.0788 and 2.7410 Å, with angles of 90.00, 90.00 and 120.00 degrees. The distinct sites, in fractional coordinates, are Tc at (0.3333, 0.6667, 0.0000) and C at (0.0000, 0.0000, 0.5000).

The value obtained for the formation energy is 1.873 eV/atom. The relative energy among the computed polymorphs comes out at 1798 meV/atom. As for the crystal system: hexagonal.

***

3.
## Tb2ZnSn3 (PBE-GGA)

Data for crystalline Tb2ZnSn3 at its relaxed geometry.

The space group is Cmcm (No. 63) and the conventional cell measures 12.900, 9.004 and 5.807 Å, with angles of 90.00, 90.00 and 90.00 degrees. The distinct sites, in fractional coordinates, are Tb at (0.150, 0.187, 0.250), Zn at (0.000, 0.377, 0.750), Sn at (0.000, 0.084, 0.750) and Sn at (0.170, 0.500, 0.000).

The value obtained for the formation energy is -0.238 eV/atom. As for the crystal system: orthorhombic.

***

4.
## Na2MnN2 (PBE-GGA)

Data for crystalline Na2MnN2 at its relaxed geometry.

The space group is Ibam (No. 72) and the conventional cell measures 5.567, 9.661 and 4.835 Å, with angles of 90.00, 90.00 and 90.00 degrees. The distinct sites, in fractional coordinates, are Na at (0.127, 0.158, 0.000), Mn at (0.000, 0.500, 0.250) and N at (0.186, 0.404, 0.000).

The relative energy among the computed polymorphs comes out at 0 meV/atom. Its formation energy (no corrections) is -1.3 eV per formula unit. As for the crystal system: orthorhombic.

***

5.
## KMoAu2 (PBE-GGA)

Data for crystalline KMoAu2 at its relaxed geometry.

The space group is Fm-3m (No. 225) and the conventional cell measures 7.095, 7.095 and 7.095 Å, with angles of 90.00, 90.00 and 90.00 degrees. The distinct sites, in fractional coordinates, are K at (0.000, 0.000, 0.000), Mo at (0.000, 0.000, 0.500) and Au at (0.250, 0.250, 0.250).

The value obtained for the formation energy is 0.729 eV/atom. The relative energy among the computed polymorphs comes out at 444 meV/atom. As for the crystal system: cubic.

***

6.
## MnTl2Ni (PBE-GGA)

Data for crystalline MnTl2Ni at its relaxed geometry.

The space group is Pm (No. 6) and the conventional cell measures 4.417, 3.270 and 6.119 Å, with angles of 90.00, 110.97 and 90.00 degrees. The distinct sites, in fractional coordinates, are Mn at (0.000, 0.000, 0.000), Tl at (0.308, 0.000, 0.617), Tl at (0.596, 0.500, 0.193) and Ni at (0.841, 0.500, 0.684).

The value obtained for the formation energy is 0.365 eV/atom. The relative energy among the computed polymorphs comes out at 81 meV/atom. As for the crystal system: monoclinic.

***

7.
## Li2Pm2PaN4 (PBE-GGA)

Data for crystalline Li2Pm2PaN4 at its relaxed geometry.

The space group is C2/m (No. 12) and the conventional cell measures 12.406, 3.440 and 5.990 Å, with angles of 90.00, 108.81 and 90.00 degrees. The distinct sites, in fractional coordinates, are Li at (0.188, 0.000, 0.004), Pm at (0.141, 0.500, 0.568), Pa at (0.000, 0.500, 0.000), N at (0.031, 0.000, 0.768) and N at (0.205, 0.500, 0.216).

Its formation energy (no corrections) is -9.4 eV per formula unit. As for the crystal system: monoclinic.

***

8.
## TbPmYEr3 (PBE-GGA)

Data for crystalline TbPmYEr3 at its relaxed geometry.

The space group is Cmcm (No. 63) and the conventional cell measures 5.021, 15.069 and 10.044 Å, with angles of 90.00, 90.00 and 90.00 degrees. The distinct sites, in fractional coordinates, are Tb at (0.000, 0.000, 0.000), Pm at (0.000, 0.499, 0.250), Y at (0.000, 0.168, 0.250), Er at (0.000, 0.167, 0.750) and Er at (0.000, 0.333, 0.000).

The value obtained for the formation energy is 0.022 eV/atom. As for the crystal system: orthorhombic.

***

9.
## Ce6P5Se (PBE-GGA)

Data for crystalline Ce6P5Se at its relaxed geometry.

The space group is C2/m (No. 12) and the conventional cell measures 7.124, 12.336 and 7.121 Å, with angles of 90.00, 109.48 and 90.00 degrees. The distinct sites, in fractional coordinates, are Ce at (0.244, 0.000, 0.254), Ce at (0.245, 0.170, 0.745), P at (0.000, 0.000, 0.500), P at (0.000, 0.167, 0.000), P at (0.000, 0.336, 0.500) and Se at (0.000, 0.500, 0.000).

Its formation energy (no corrections) is -18.8 eV per formula unit. As for the crystal system: monoclinic.

***

10.
## Ba2As2Ir2N (PBE-GGA)

Data for crystalline Ba2As2Ir2N at its relaxed geometry.

The space group is P-1 (No. 2) and the conventional cell measures 4.247, 6.434 and 6.698 Å, with angles of 101.59, 107.52 and 103.97 degrees. The distinct sites, in fractional coordinates, are Ba at (0.236, 0.190, 0.323), As at (0.021, 0.378, 0.771), Ir at (0.456, 0.725, 0.068) and N at (0.500, 0.000, 0.000).

Its formation energy (no corrections) is -4.2 eV per formula unit. As for the crystal system: triclinic.

***

11.
## Tb7Pm4Ho (PBE-GGA)

Data for crystalline Tb7Pm4Ho at its relaxed geometry.

The space group is P-1 (No. 2) and the conventional cell measures 6.553, 6.851 and 9.130 Å, with angles of 85.57, 77.25 and 82.29 degrees. The distinct sites, in fractional coordinates, are Tb at (0.000, 0.000, 0.000), Tb at (0.190, 0.605, 0.385), Tb at (0.317, 0.198, 0.640), Tb at (0.488, 0.747, 0.052), Pm at (0.160, 0.116, 0.307), Pm at (0.360, 0.691, 0.718) and Ho at (0.000, 0.500, 0.000).

The value obtained for the formation energy is 0.087 eV/atom. The relative energy among the computed polymorphs comes out at 0 meV/atom. As for the crystal system: triclinic.

***

12.
## Li3Br (PBE-GGA)

Data for crystalline Li3Br at its relaxed geometry.

The space group is Pm-3m (No. 221) and the conventional cell measures 4.274, 4.274 and 4.274 Å, with angles of 90.00, 90.00 and 90.00 degrees. The distinct sites, in fractional coordinates, are Li at (0.000, 0.000, 0.500) and Br at (0.500, 0.500, 0.500).

The relative energy among the computed polymorphs comes out at 60 meV/atom. Its formation energy (no corrections) is -2.2 eV per formula unit. As for the crystal system: cubic.

***

Asked for DFT total energy across the records above, the calculation gives -7.03 -8.11 -4.00 -5.96 -3.89 -4.56 -7.28 -4.90 -7.08 -6.20 -4.58 -2.40 eV/atom in order.